This record from the Alexandria database describes crystalline LaPm2ThSb4 at its relaxed geometry. The functional is PBE-GGA.

It has space group P2/m (No. 10), with a = 7.821 Å, b = 4.532 Å, c = 7.850 Å, α = 90.00°, β = 109.47° and γ = 90.00°. The inequivalent atoms are La at (0.000, 0.000, 0.000), Pm at (0.500, 0.000, 0.500), Pm at (0.500, 0.500, 0.000), Th at (0.000, 0.500, 0.500), Sb at (0.252, 0.000, 0.748) and Sb at (0.254, 0.500, 0.255).

The calculation puts the calculated volume at 262 Å³/f.u. The calculation puts the energy relative to the elements, uncorrected at -9.28 eV/f.u. The calculation puts the density of states at the Fermi level at 1.8 states/eV/cell. The total energy comes out at -47.6 eV/cell.

***

This record from the Alexandria database describes crystalline La3PmTh2Sb6 at its relaxed geometry. The functional is PBE-GGA.

It has space group C2/m (No. 12), with a = 7.888 Å, b = 13.675 Å, c = 7.913 Å, α = 90.00°, β = 109.41° and γ = 90.00°. The inequivalent atoms are La at (0.000, 0.000, 0.000), La at (0.000, 0.334, 0.000), Pm at (0.000, 0.500, 0.500), Th at (0.000, 0.167, 0.500), Sb at (0.247, 0.000, 0.743) and Sb at (0.248, 0.333, 0.743).

The calculation puts the calculated volume at 403 Å³/f.u. The calculation puts the energy relative to the elements, uncorrected at -13.95 eV/f.u. The calculation puts the density of states at the Fermi level at 6.6 states/eV/cell. The total energy comes out at -146.1 eV/cell.

***

This record from the Alexandria database describes crystalline LaPmTlSb at its relaxed geometry. The functional is PBE-GGA.

It has space group F-43m (No. 216), with a = 7.837 Å, b = 7.837 Å, c = 7.837 Å, α = 90.00°, β = 90.00° and γ = 90.00°. The inequivalent atoms are La at (0.000, 0.000, 0.000), Pm at (0.000, 0.000, 0.500), Tl at (0.250, 0.250, 0.750) and Sb at (0.250, 0.250, 0.250).

The calculation puts the calculated volume at 120 Å³/f.u. The calculation puts the energy relative to the elements, uncorrected at -2.41 eV/f.u. The calculation puts the density of states at the Fermi level at 20.3 states/eV/cell. The total energy comes out at -74.3 eV/cell.

***

This record from the Alexandria database describes crystalline LaPmTm2Sb4 at its relaxed geometry. The functional is PBE-GGA.

It has space group P2/m (No. 10), with a = 7.691 Å, b = 4.458 Å, c = 7.715 Å, α = 90.00°, β = 109.53° and γ = 90.00°. The inequivalent atoms are La at (0.000, 0.000, 0.000), Pm at (0.000, 0.500, 0.500), Tm at (0.500, 0.000, 0.500), Tm at (0.500, 0.500, 0.000), Sb at (0.263, 0.000, 0.751) and Sb at (0.265, 0.500, 0.258).

The calculation puts the calculated volume at 249 Å³/f.u. The calculation puts the energy relative to the elements, uncorrected at -9.14 eV/f.u. The calculation puts the density of states at the Fermi level at 1.1 states/eV/cell. The total energy comes out at -44.3 eV/cell.

***

This record from the Alexandria database describes crystalline LaPm2TmSb4 at its relaxed geometry. The functional is PBE-GGA.

It has space group P2/m (No. 10), with a = 7.768 Å, b = 4.494 Å, c = 7.781 Å, α = 90.00°, β = 109.46° and γ = 90.00°. The inequivalent atoms are La at (0.000, 0.000, 0.000), Pm at (0.000, 0.500, 0.500), Pm at (0.500, 0.000, 0.500), Tm at (0.500, 0.500, 0.000), Sb at (0.258, 0.500, 0.251) and Sb at (0.259, 0.000, 0.755).

The calculation puts the calculated volume at 256 Å³/f.u. The calculation puts the energy relative to the elements, uncorrected at -9.32 eV/f.u. The calculation puts the density of states at the Fermi level at 0.9 states/eV/cell. The total energy comes out at -44.7 eV/cell.

***

This record from the Alexandria database describes crystalline La2PmTmSb4 at its relaxed geometry. The functional is PBE-GGA.

It has space group P2/m (No. 10), with a = 7.822 Å, b = 4.528 Å, c = 7.836 Å, α = 90.00°, β = 109.53° and γ = 90.00°. The inequivalent atoms are La at (0.000, 0.000, 0.000), La at (0.000, 0.500, 0.500), Pm at (0.500, 0.000, 0.500), Tm at (0.500, 0.500, 0.000), Sb at (0.260, 0.500, 0.249) and Sb at (0.263, 0.000, 0.759).

The calculation puts the calculated volume at 262 Å³/f.u. The calculation puts the energy relative to the elements, uncorrected at -9.55 eV/f.u. The calculation puts the density of states at the Fermi level at 1.0 states/eV/cell. The total energy comes out at -45.1 eV/cell.

***

This record from the Alexandria database describes crystalline LaPmZnSb at its relaxed geometry. The functional is PBE-GGA.

It has space group F-43m (No. 216), with a = 7.622 Å, b = 7.622 Å, c = 7.622 Å, α = 90.00°, β = 90.00° and γ = 90.00°. The inequivalent atoms are La at (0.000, 0.000, 0.000), Pm at (0.000, 0.000, 0.500), Zn at (0.250, 0.250, 0.250) and Sb at (0.250, 0.250, 0.750).

The calculation puts the calculated volume at 111 Å³/f.u. The calculation puts the energy relative to the elements, uncorrected at -2.43 eV/f.u. The calculation puts the density of states at the Fermi level at 14.2 states/eV/cell. The total energy comes out at -70.0 eV/cell.

***

This record from the Alexandria database describes crystalline La8Pm3Sc at its relaxed geometry. The functional is PBE-GGA.

It has space group I-42m (No. 121), with a = 8.828 Å, b = 8.828 Å, c = 11.775 Å, α = 90.00°, β = 90.00° and γ = 90.00°. The inequivalent atoms are La at (0.125, 0.125, 0.253), La at (0.243, 0.243, 0.514), Pm at (0.000, 0.000, 0.000), Pm at (0.000, 0.500, 0.250) and Sc at (0.000, 0.000, 0.500).

The calculation puts the calculated volume at 459 Å³/f.u. The calculation puts the density of states at the Fermi level at 42.1 states/eV/cell. The energy of formation from the pure elements comes out at 0.474 eV/atom. The total energy comes out at -108.6 eV/cell.

***

This record from the Alexandria database describes crystalline LaPm5Sc3 at its relaxed geometry. The functional is PBE-GGA.

It has space group C2/m (No. 12), with a = 14.821 Å, b = 11.432 Å, c = 9.649 Å, α = 90.00°, β = 129.77° and γ = 90.00°. The inequivalent atoms are La at (0.225, 0.000, 0.051), Pm at (0.000, 0.254, 0.000), Pm at (0.132, 0.253, 0.735), Pm at (0.230, 0.500, 0.233), Pm at (0.248, 0.500, 0.584), Sc at (0.000, 0.000, 0.000), Sc at (0.000, 0.500, 0.500), Sc at (0.004, 0.500, 0.822) and Sc at (0.013, 0.000, 0.355).

The calculation puts the calculated volume at 314 Å³/f.u. The calculation puts the density of states at the Fermi level at 55.3 states/eV/cell. The energy of formation from the pure elements comes out at 0.443 eV/atom. The total energy comes out at -174.8 eV/cell.

***

This record from the Alexandria database describes crystalline La2Pm4Sc at its relaxed geometry. The functional is PBE-GGA.

It has space group Imma (No. 74), with a = 6.802 Å, b = 11.704 Å, c = 12.054 Å, α = 90.00°, β = 90.00° and γ = 90.00°. The inequivalent atoms are La at (0.000, 0.000, 0.000), La at (0.000, 0.250, 0.223), Pm at (0.000, 0.014, 0.649), Pm at (0.226, 0.250, 0.495) and Sc at (0.250, 0.250, 0.750).

The calculation puts the calculated volume at 240 Å³/f.u. The calculation puts the density of states at the Fermi level at 44.2 states/eV/cell. For the excess energy over the best structure of this formula in the dataset, the calculation gives 0.0 meV/atom. The energy of formation from the pure elements comes out at 0.212 eV/atom. The total energy comes out at -134.8 eV/cell.

***

This record from the Alexandria database describes crystalline LaPm4Sc4 at its relaxed geometry. The functional is PBE-GGA.

It has space group I4/mmm (No. 139), with a = 10.493 Å, b = 10.493 Å, c = 4.883 Å, α = 90.00°, β = 90.00° and γ = 90.00°. The inequivalent atoms are La at (0.000, 0.000, 0.000), Pm at (0.000, 0.328, 0.000) and Sc at (0.168, 0.168, 0.500).

The calculation puts the calculated volume at 269 Å³/f.u. The calculation puts the density of states at the Fermi level at 26.8 states/eV/cell. The energy of formation from the pure elements comes out at 0.066 eV/atom. The total energy comes out at -97.3 eV/cell.

***

This record from the Alexandria database describes crystalline La2Pm4Sc at its relaxed geometry. The functional is PBE-GGA.

It has space group I-42d (No. 122), with a = 9.888 Å, b = 9.888 Å, c = 9.821 Å, α = 90.00°, β = 90.00° and γ = 90.00°. The inequivalent atoms are La at (0.113, 0.750, 0.125), Pm at (0.073, 0.681, 0.463) and Sc at (0.000, 0.000, 0.500).

The calculation puts the calculated volume at 240 Å³/f.u. The calculation puts the density of states at the Fermi level at 48.2 states/eV/cell. For the excess energy over the best structure of this formula in the dataset, the calculation gives 59.1 meV/atom. The energy of formation from the pure elements comes out at 0.271 eV/atom. The total energy comes out at -133.2 eV/cell.

***

This record from the Alexandria database describes crystalline LaPmSc3 at its relaxed geometry. The functional is PBE-GGA.

It has space group Pnma (No. 62), with a = 9.664 Å, b = 3.450 Å, c = 16.976 Å, α = 90.00°, β = 90.00° and γ = 90.00°. The inequivalent atoms are La at (0.113, 0.250, 0.155), Pm at (0.128, 0.250, 0.549), Sc at (0.127, 0.250, 0.350), Sc at (0.128, 0.250, 0.948) and Sc at (0.133, 0.250, 0.751).

The calculation puts the calculated volume at 142 Å³/f.u. The calculation puts the density of states at the Fermi level at 29.1 states/eV/cell. The energy of formation from the pure elements comes out at 0.074 eV/atom. The total energy comes out at -113.2 eV/cell.

***

This record from the Alexandria database describes crystalline La3Pm4Sc at its relaxed geometry. The functional is PBE-GGA.

It has space group Immm (No. 71), with a = 3.548 Å, b = 11.884 Å, c = 13.102 Å, α = 90.00°, β = 90.00° and γ = 90.00°. The inequivalent atoms are La at (0.000, 0.000, 0.000), La at (0.000, 0.500, 0.238), Pm at (0.000, 0.243, 0.368) and Sc at (0.000, 0.000, 0.500).

The calculation puts the calculated volume at 276 Å³/f.u. The calculation puts the density of states at the Fermi level at 23.6 states/eV/cell. For the excess energy over the best structure of this formula in the dataset, the calculation gives 68.1 meV/atom. The energy of formation from the pure elements comes out at 0.119 eV/atom. The total energy comes out at -78.3 eV/cell.

***

This record from the Alexandria database describes crystalline La4PmSc at its relaxed geometry. The functional is PBE-GGA.

It has space group Imma (No. 74), with a = 5.800 Å, b = 23.112 Å, c = 6.163 Å, α = 90.00°, β = 90.00° and γ = 90.00°. The inequivalent atoms are La at (0.000, 0.091, 0.054), La at (0.000, 0.175, 0.575), Pm at (0.000, 0.000, 0.500) and Sc at (0.000, 0.250, 0.091).

The calculation puts the calculated volume at 207 Å³/f.u. The calculation puts the density of states at the Fermi level at 40.0 states/eV/cell. For the excess energy over the best structure of this formula in the dataset, the calculation gives 34.1 meV/atom. The energy of formation from the pure elements comes out at 0.078 eV/atom. The total energy comes out at -121.3 eV/cell.

***

This record from the Alexandria database describes crystalline La6Pm5Sc2 at its relaxed geometry. The functional is PBE-GGA.

It has space group Pbam (No. 55), with a = 10.934 Å, b = 23.189 Å, c = 3.553 Å, α = 90.00°, β = 90.00° and γ = 90.00°. The inequivalent atoms are La at (0.015, 0.114, 0.000), La at (0.147, 0.384, 0.000), La at (0.167, 0.636, 0.500), Pm at (0.000, 0.500, 0.500), Pm at (0.082, 0.250, 0.500), Pm at (0.166, 0.999, 0.500) and Sc at (0.169, 0.766, 0.000).

The calculation puts the calculated volume at 450 Å³/f.u. The calculation puts the density of states at the Fermi level at 40.5 states/eV/cell. The energy of formation from the pure elements comes out at 0.143 eV/atom. The total energy comes out at -128.2 eV/cell.

***

This record from the Alexandria database describes crystalline LaPm6Sc3 at its relaxed geometry. The functional is PBE-GGA.

It has space group R32 (No. 155, hexagonal axes), with a = 9.7929 Å, b = 9.7929 Å, c = 11.5901 Å, α = 90.00°, β = 90.00° and γ = 120.00°. The inequivalent atoms are La at (0.0000, 0.0000, 0.0000), Pm at (0.0000, 0.3387, 0.0000), Pm at (0.0000, 0.6685, 0.5000), Sc at (0.0000, 0.0000, 0.2615) and Sc at (0.0000, 0.0000, 0.5000).

The calculation puts the calculated volume at 321 Å³/f.u. The calculation puts the density of states at the Fermi level at 53.5 states/eV/cell. The energy of formation from the pure elements comes out at 0.178 eV/atom. The total energy comes out at -151.9 eV/cell.

***

This record from the Alexandria database describes crystalline La4Pm4Sc at its relaxed geometry. The functional is PBE-GGA.

It has space group I4/mmm (No. 139), with a = 10.894 Å, b = 10.894 Å, c = 5.180 Å, α = 90.00°, β = 90.00° and γ = 90.00°. The inequivalent atoms are La at (0.164, 0.164, 0.000), Pm at (0.000, 0.331, 0.500) and Sc at (0.000, 0.000, 0.500).

The calculation puts the calculated volume at 307 Å³/f.u. The calculation puts the density of states at the Fermi level at 27.4 states/eV/cell. The energy of formation from the pure elements comes out at 0.032 eV/atom. The total energy comes out at -89.5 eV/cell.

***

This record from the Alexandria database describes crystalline La2Pm9Sc at its relaxed geometry. The functional is PBE-GGA.

It has space group P4/mmm (No. 123), with a = 5.141 Å, b = 5.141 Å, c = 15.414 Å, α = 90.00°, β = 90.00° and γ = 90.00°. The inequivalent atoms are La at (0.000, 0.000, 0.170), Pm at (0.000, 0.500, 0.000), Pm at (0.000, 0.500, 0.341), Pm at (0.500, 0.500, 0.171), Pm at (0.500, 0.500, 0.500) and Sc at (0.000, 0.000, 0.500).

The calculation puts the calculated volume at 407 Å³/f.u. The calculation puts the density of states at the Fermi level at 20.9 states/eV/cell. The energy of formation from the pure elements comes out at 0.031 eV/atom. The total energy comes out at -58.6 eV/cell.

***

This record from the Alexandria database describes crystalline LaPm10Sc4 at its relaxed geometry. The functional is PBE-GGA.

It has space group I4/m (No. 87), with a = 12.258 Å, b = 12.258 Å, c = 6.914 Å, α = 90.00°, β = 90.00° and γ = 90.00°. The inequivalent atoms are La at (0.000, 0.000, 0.000), Pm at (0.000, 0.500, 0.250), Pm at (0.122, 0.279, 0.241) and Sc at (0.069, 0.821, 0.500).

The calculation puts the calculated volume at 519 Å³/f.u. The calculation puts the density of states at the Fermi level at 53.5 states/eV/cell. The energy of formation from the pure elements comes out at 0.520 eV/atom. The total energy comes out at -139.9 eV/cell.

***

This record from the Alexandria database describes crystalline La5Pm8Sc at its relaxed geometry. The functional is PBE-GGA.

It has space group I-4 (No. 82), with a = 9.825 Å, b = 9.825 Å, c = 10.131 Å, α = 90.00°, β = 90.00° and γ = 90.00°. The inequivalent atoms are La at (0.000, 0.000, 0.000), La at (0.105, 0.787, 0.582), Pm at (0.068, 0.668, 0.911), Pm at (0.078, 0.810, 0.246) and Sc at (0.000, 0.500, 0.250).

The calculation puts the calculated volume at 489 Å³/f.u. The calculation puts the density of states at the Fermi level at 44.5 states/eV/cell. The energy of formation from the pure elements comes out at 0.232 eV/atom. The total energy comes out at -131.4 eV/cell.